[1]
Density functional theory data (PBE) for crystalline K4Pa3AlN8 at its relaxed geometry.

Symmetry: No. 12
Magnetization (Bohr magnetons per cell): 0.0
Raw formation energy (meV per atom): -791.0

a b c (Å): 7.105 7.105 7.550
angles (deg): 117.09 117.09 56.48
Element x y z (fractional)
K1 0.000 0.000 0.000
K2 0.000 0.500 0.000
K3 0.500 0.000 0.000
K4 0.500 0.500 0.000
Pa1 0.000 0.000 0.500
Pa2 0.000 0.500 0.500
Pa3 0.500 0.000 0.500
Al1 0.500 0.500 0.500
N1 0.223 0.223 0.670
N2 0.240 0.710 0.656
N3 0.250 0.250 0.312
N4 0.290 0.760 0.344
N5 0.710 0.240 0.656
N6 0.750 0.750 0.688
N7 0.760 0.290 0.344
N8 0.777 0.777 0.330



[2]
Density functional theory data (PBE) for crystalline Th3Si3Os at its relaxed geometry.

Symmetry: No. 12
Magnetization (Bohr magnetons per cell): 0.0
Raw formation energy (meV per atom): -684.3

a b c (Å): 5.879 5.879 14.188
angles (deg): 109.74 109.74 43.26
Element x y z (fractional)
Th1 0.019 0.019 0.378
Th2 0.101 0.101 0.921
Th3 0.244 0.244 0.227
Th4 0.756 0.756 0.773
Th5 0.899 0.899 0.079
Th6 0.981 0.981 0.622
Si1 0.355 0.355 0.451
Si2 0.388 0.388 0.925
Si3 0.449 0.449 0.757
Si4 0.551 0.551 0.243
Si5 0.612 0.612 0.075
Si6 0.645 0.645 0.549
Os1 0.260 0.260 0.583
Os2 0.740 0.740 0.417



[3]
Density functional theory data (PBE) for crystalline Cd2CuPd at its relaxed geometry.

Symmetry: No. 122
Magnetization (Bohr magnetons per cell): 0.0
Energy relative to the elements (eV per atom): 0.073

a b c (Å): 5.872 5.872 5.872
angles (deg): 103.05 103.05 123.26
Element x y z (fractional)
Cd1 0.112 0.125 0.487
Cd2 0.375 0.888 0.013
Cd3 0.638 0.625 0.513
Cd4 0.875 0.362 0.987
Cu1 0.000 0.000 0.000
Cu2 0.750 0.250 0.500
Pd1 0.250 0.750 0.500
Pd2 0.500 0.500 0.000



[4]
Density functional theory data (PBE) for crystalline NaSrSnPb at its relaxed geometry.

Symmetry: No. 216
Magnetization (Bohr magnetons per cell): 0.0
Energy relative to the elements (eV per atom): -0.323
Excess energy over the best structure of this formula in the dataset (meV/atom): 0

a b c (Å): 5.608 5.608 5.608
angles (deg): 60.00 60.00 60.00
Element x y z (fractional)
Na1 0.000 0.000 0.000
Sr1 0.500 0.500 0.500
Sn1 0.750 0.750 0.750
Pb1 0.250 0.250 0.250